[1]
Computed, not measured: a relaxed Np4CoAs8 crystal at the PBE level of DFT.

Cell: 4.1102 4.0049 15.8474 Å, 90.00 90.00 90.00°
Closest atoms and distances in Å follow each position.
Sites, in units of the cell vectors:
As (0.5000, 0.0000, 0.2402)  2 Co 2.30
Np (0.5000, 0.0000, 0.8950)  10 As 2.94-3.28
As (0.5000, 0.5000, 0.0590)  2 As 2.85, 4 Np 2.93
As (0.0000, 0.0000, 0.4500)  1 Co 2.30
As (0.5000, 0.5000, 0.7520)  4 As 2.87, 4 Np 3.02-3.07
As (0.0000, 0.0000, 0.7525)  4 As 2.87, 4 Np 3.04-3.05
Np (0.0000, 0.0000, 0.0974)  10 As 2.93-3.27
Np (0.0000, 0.5000, 0.6082)  10 As 2.92-3.21
As (0.0000, 0.5000, 0.9340)  2 As 2.85, 4 Np 2.94
As (0.0000, 0.5000, 0.2382)  2 Co 2.27
As (0.5000, 0.0000, 0.5742)  2 As 2.85, 4 Np 2.92
Co (0.0000, 0.0000, 0.3051)  5 As 2.27-2.30
Np (0.5000, 0.5000, 0.3972)  8 As 2.99-3.25, 4 Co 3.22

Uncorrected energy ... -7.853 eV per atom
Energy relative to the elements ... -464 meV per atom
Space group ... Pmm2, No. 25

---

[2]
Computed, not measured: a relaxed Y2Cu2I crystal at the PBE level of DFT.

Cell: 8.0770 8.0770 3.8103 Å, 90.00 90.00 90.00°
Closest atoms and distances in Å follow each position.
Sites, in units of the cell vectors:
I (0.5000, 0.5000, 0.0000)  4 Y 3.02
Cu (0.3877, 0.1123, 0.5000)  1 Cu 2.57
Cu (0.6123, 0.8877, 0.5000)  1 Cu 2.57
Y (0.3363, 0.8363, 0.0000)  6 Cu 2.96-3.19, 2 I 3.02
I (0.0000, 0.0000, 0.0000)  4 Y 3.02
Y (0.1637, 0.3363, 0.0000)  6 Cu 2.96-3.19, 2 I 3.02
Y (0.8363, 0.6637, 0.0000)  6 Cu 2.96-3.19, 2 I 3.02
Y (0.6637, 0.1637, 0.0000)  6 Cu 2.96-3.19, 2 I 3.02
Cu (0.1123, 0.6123, 0.5000)  1 Cu 2.57
Cu (0.8877, 0.3877, 0.5000)  1 Cu 2.57

Raw formation energy ... -0.25 eV per atom
Uncorrected energy ... -4.781 eV per atom
Polymorph energy (0 for the lowest one) ... 0.08 eV/f.u.
Space group ... P4/mbm, No. 127

---

[3]
Computed, not measured: a relaxed NaCu2BF crystal at the PBE level of DFT.

Cell: 3.7586 6.0311 3.7586 Å, 90.00 90.00 90.00°
Closest atoms and distances in Å follow each position.
Sites, in units of the cell vectors:
B (0.0000, 0.0000, 0.0000)  4 Cu 1.88
Cu (0.5000, 0.0000, 0.0000)  2 B 1.88
Cu (0.0000, 0.0000, 0.5000)  2 B 1.88
F (0.5000, 0.5000, 0.5000)  4 Na 2.66
Na (0.0000, 0.5000, 0.0000)  4 F 2.66

Raw formation energy ... -0.24 eV per atom
Uncorrected energy ... -3.855 eV per atom
Polymorph energy (0 for the lowest one) ... 0.00 eV/f.u.
Space group ... P4/mmm, No. 123

---

[4]
Computed, not measured: a relaxed AuSeI3 crystal at the PBE level of DFT.

Cell: 5.6753 5.6753 5.6753 Å, 90.00 90.00 90.00°
Closest atoms and distances in Å follow each position.
Sites, in units of the cell vectors:
I (0.5000, 0.0000, 0.0000)  2 Au 2.84
I (0.0000, 0.5000, 0.0000)  2 Au 2.84
I (0.0000, 0.0000, 0.5000)  2 Au 2.84
Au (0.0000, 0.0000, 0.0000)  6 I 2.84
Se (0.5000, 0.5000, 0.5000)  12 I 4.01

Raw formation energy ... 0.49 eV per atom
Uncorrected energy ... -1.797 eV per atom
Polymorph energy (0 for the lowest one) ... 2.29 eV/f.u.
Space group ... Pm-3m, No. 221

---

[5]
Computed, not measured: a relaxed VAs2IrRh crystal at the PBE level of DFT.

Cell: 4.5771 4.5437 4.5771 Å, 90.00 90.00 90.00°
Closest atoms and distances in Å follow each position.
Sites, in units of the cell vectors:
As (0.0000, 0.0000, 0.5000)  2 V 2.29
As (0.5000, 0.0000, 0.0000)  2 V 2.29
V (0.0000, 0.0000, 0.0000)  2 Ir 2.27, 4 As 2.29
Rh (0.5000, 0.5000, 0.5000)  8 As 3.22, 4 Ir 3.24
Ir (0.0000, 0.5000, 0.0000)  2 V 2.27

Uncorrected energy ... -6.074 eV per atom
Energy relative to the elements ... 853 meV per atom
Space group ... P4/mmm, No. 123

---

[6]
Computed, not measured: a relaxed AcTl7Hg4 crystal at the PBE level of DFT.

Cell: 6.5101 9.4882 7.3906 Å, 74.01 63.87 69.94°
Closest atoms and distances in Å follow each position.
Sites, in units of the cell vectors:
Hg (0.5067, 0.6748, 0.3118)  6 Tl 3.06-3.30, 1 Hg 3.17
Hg (0.7467, 0.6723, 0.8344)  1 Hg 3.17, 7 Tl 3.21-3.41
Tl (0.2663, 0.9948, 0.4726)  3 Tl 3.13-3.28, 2 Hg 3.19-3.34
Hg (0.2533, 0.3277, 0.1656)  1 Hg 3.17, 7 Tl 3.21-3.41
Tl (0.7256, 0.3560, 0.1927)  5 Hg 3.06-3.41
Hg (0.4933, 0.3252, 0.6882)  6 Tl 3.06-3.30, 1 Hg 3.17
Tl (0.7337, 0.0052, 0.5274)  3 Tl 3.13-3.28, 2 Hg 3.19-3.34
Tl (0.2744, 0.6440, 0.8073)  5 Hg 3.06-3.41
Tl (0.9898, 0.3509, 0.6695)  4 Hg 3.21-3.38, 2 Tl 3.22-3.48, 1 Ac 3.55
Ac (0.0000, 0.0000, 0.0000)  8 Tl 3.26-3.59
Tl (0.5000, 0.0000, 0.0000)  2 Tl 3.13, 2 Ac 3.26, 4 Hg 3.27-3.30
Tl (0.0102, 0.6491, 0.3305)  4 Hg 3.21-3.38, 2 Tl 3.22-3.48, 1 Ac 3.55

Uncorrected energy ... -1.836 eV per atom
Energy relative to the elements ... -12 meV per atom
Space group ... C2/m, No. 12

---

Number 1: density of states at the Fermi level 33.7 states/eV/f.u.. Number 2: density of states at the Fermi level 3.5 states/eV/f.u.. Number 3: density of states at the Fermi level 3.4 states/eV/f.u.. Number 4: density of states at the Fermi level 5.0 states/eV/f.u.. Number 5: density of states at the Fermi level 4.4 states/eV/f.u.. Number 6: density of states at the Fermi level 6.1 states/eV/f.u..